Record 1
! NdTl3Ga3I8, relaxed, DFT PBE; values from VASP
&SYSTEM
  ibrav = 0, nat = 15, ntyp = 4
/
ATOMIC_SPECIES
Nd 144.24 Nd.upf
Tl 204.38 Tl.upf
Ga 69.72 Ga.upf
I 126.90 I.upf
CELL_PARAMETERS angstrom
8.0599 -4.5891 0.0000
8.0599 4.5891 0.0000
-5.4876 0.0000 8.7396
ATOMIC_POSITIONS crystal
Nd 0.0000 0.0000 0.0000
Tl 0.0000 0.0000 0.5000
Tl 0.0000 0.5000 0.5000
Tl 0.5000 0.0000 0.5000
Ga 0.0000 0.5000 0.0000
Ga 0.5000 0.0000 0.0000
Ga 0.5000 0.5000 0.0000
I 0.2302 0.2302 0.2150
I 0.2299 0.7561 0.2155
I 0.2439 0.7701 0.7845
I 0.2573 0.2573 0.7731
I 0.7427 0.7427 0.2269
I 0.7561 0.2299 0.2155
I 0.7701 0.2439 0.7845
I 0.7698 0.7698 0.7850
! Size of the total moment, Bohr magnetons per cell: 0.2
! Energy relative to the elements, uncorrected, eV/atom: -0.63
! Raw total energy, eV per atom: -2.855

***

Record 2
! Nd8ZnGa3I4, relaxed, DFT PBE; values from VASP
&SYSTEM
  ibrav = 0, nat = 16, ntyp = 4
/
ATOMIC_SPECIES
Nd 144.24 Nd.upf
Zn 65.41 Zn.upf
Ga 69.72 Ga.upf
I 126.90 I.upf
CELL_PARAMETERS angstrom
7.5233 -4.3368 0.0000
7.5233 4.3368 0.0000
-5.0224 0.0000 7.6631
ATOMIC_POSITIONS crystal
Nd 0.2363 0.7394 0.7153
Nd 0.2372 0.2372 0.7117
Nd 0.2606 0.2606 0.2847
Nd 0.2606 0.7637 0.2847
Nd 0.7394 0.2363 0.7153
Nd 0.7394 0.7394 0.7153
Nd 0.7628 0.7628 0.2883
Nd 0.7637 0.2606 0.2847
Zn 0.5000 0.5000 0.5000
Ga 0.0000 0.0000 0.5000
Ga 0.0000 0.5000 0.5000
Ga 0.5000 0.0000 0.5000
I 0.0000 0.0000 0.0000
I 0.0000 0.5000 0.0000
I 0.5000 0.0000 0.0000
I 0.5000 0.5000 0.0000
! Size of the total moment, Bohr magnetons per cell: 0.0
! Energy relative to the elements, uncorrected, eV/atom: -0.71
! Raw total energy, eV per atom: -4.130

***

Record 3
! Ga2NiI, relaxed, DFT PBE; values from VASP
&SYSTEM
  ibrav = 0, nat = 4, ntyp = 3
/
ATOMIC_SPECIES
Ga 69.72 Ga.upf
Ni 58.69 Ni.upf
I 126.90 I.upf
CELL_PARAMETERS angstrom
0.0000 3.5450 3.5450
3.5450 0.0000 3.5450
3.5450 3.5450 0.0000
ATOMIC_POSITIONS crystal
Ga 0.2500 0.2500 0.2500
Ga 0.7500 0.7500 0.7500
Ni 0.0000 0.0000 0.0000
I 0.5000 0.5000 0.5000
! Excess energy over the best structure of this formula in the dataset, meV per atom: 543.5
! Size of the total moment, Bohr magnetons per cell: 0.6
! Energy relative to the elements, uncorrected, eV/atom: 0.62
! Raw total energy, eV per atom: -2.730

***

Question: What is the size of the total moment in the first record?
Answer: 0.2 Bohr magnetons per cell

***

Question: The highest size of the total moment belongs to which entry?
Answer: Ga2NiI